Here is NaNi2S2 at its PBEsol-relaxed geometry from Alexandria via LeMat-Bulk. Energies are from meta-GGA SCAN.

The value obtained for the formation energy without anion corrections is -433.0 meV/atom. Its magnetization is 0.00 μB per formula unit.

The structure belongs to space group I4/mmm (No. 139); the cell edges are 4.281, 4.281 and 8.334 Å and the angles 90.00°, 90.00° and 90.00°. The asymmetric unit holds Na at (0.000, 0.000, 0.000), Ni at (0.000, 0.000, 0.332) and S at (0.000, 0.500, 0.250).

Here is HfV2H4 at its PBEsol-relaxed geometry from Alexandria via LeMat-Bulk. Energies are from meta-GGA SCAN.

For the total DFT energy (no corrections), the calculation gives -16.288 eV/atom. Its magnetization is 0.00 μB per formula unit.

The structure belongs to space group I4_1/a (No. 88, origin choice 2); the cell edges are 5.350, 5.350 and 7.714 Å and the angles 90.00°, 90.00° and 90.00°. The asymmetric unit holds Hf at (0.000, 0.250, 0.125), V at (0.000, 0.000, 0.500) and H at (0.182, 0.068, 0.937).

Here is TiGa2Os at its PBEsol-relaxed geometry from Alexandria via LeMat-Bulk. Energies are from meta-GGA SCAN.

The value obtained for the energy of formation is -131 kJ/mol of formula units. Its magnetization is 0.01 μB per formula unit.

The structure belongs to space group Fm-3m (No. 225); the cell edges are 6.105, 6.105 and 6.105 Å and the angles 90.00°, 90.00° and 90.00°. The asymmetric unit holds Ti at (0.000, 0.000, 0.000), Ga at (0.250, 0.250, 0.250) and Os at (0.000, 0.000, 0.500).

Here is La2Cd3 at its PBEsol-relaxed geometry from Alexandria via LeMat-Bulk. Energies are from meta-GGA SCAN.

The value obtained for the energy of formation is -187 kJ/mol of formula units. Its magnetization is 0.00 μB per formula unit. As for the relative energy among the computed polymorphs: 0.000 eV/atom.

The structure belongs to space group Fdd2 (No. 43); the cell edges are 10.582, 16.603 and 6.223 Å and the angles 90.00°, 90.00° and 90.00°. The asymmetric unit holds La at (0.072, 0.198, 0.000), Cd at (0.000, 0.000, 0.184) and Cd at (0.071, 0.120, 0.506).